A plane-wave DFT calculation with PBE was carried out for a relaxed structure of Cu4W.

The structure in POSCAR format:
```
Cu4W
1.0
4.677 0.000 0.000
0.000 4.677 0.000
0.000 0.000 4.677
Cu W
4 1
Cartesian
2.339 0.000 2.339 Cu
0.000 0.000 0.000 Cu
2.339 2.339 0.000 Cu
0.000 2.339 2.339 Cu
2.339 2.339 2.339 W
```

Output
* ρ: 7.1 g/cm3
* crystal system: cubic
* formation energy: 855 kJ/mol of formula units